1.
A relaxed structure of BaCa2As, computed with PBEsol.

Cell: 4.310 4.310 10.553 Å, 78.22 78.22 60.00°
Site moments in Bohr magnetons follow the coordinates.
Element x y z (fractional)
Ba 0.000 0.000 0.000  0.09
As 0.500 0.500 0.500  0.02
Ca 0.214 0.214 0.357  0.02
Ca 0.786 0.786 0.643  0.02

Results
Total magnetic moment   0.614 μB/f.u.
SG   No. 166
E_tot   -3.481 eV/atom

2.
A relaxed structure of HfNiSe2, computed with PBEsol.

Cell: 4.535 4.535 4.535 Å, 60.00 60.00 60.00°
Element x y z (fractional)
Se 0.750 0.750 0.750
Ni 0.000 0.000 0.000
Hf 0.500 0.500 0.500
Se 0.250 0.250 0.250

Results
Total magnetic moment   0.000 μB/f.u.
ΔE_f (raw)   -487.9 meV/atom
SG   No. 225
E_tot   -6.578 eV/atom

3.
A relaxed structure of LiTc2Br, computed with PBEsol.

Cell: 4.394 5.975 5.975 Å, 82.23 68.42 68.42°
Element x y z (fractional)
Tc 0.375 0.567 0.933
Br 0.750 0.500 0.500
Br 0.000 0.000 0.000
Tc 0.058 0.067 0.567
Li 0.250 0.500 0.500
Li 0.500 0.000 0.000
Tc 0.692 0.933 0.433
Tc 0.875 0.433 0.067

Results
Total magnetic moment   0.000 μB/f.u.
ΔE to the lowest computed polymorph   12 meV/atom
ΔE_f (raw)   919.2 meV/atom
SG   No. 122
E_tot   -5.673 eV/atom

4.
A relaxed structure of Au3Br4, computed with PBEsol.

Cell: 4.992 5.928 5.928 Å, 120.00 90.00 90.00°
Element x y z (fractional)
Au 0.000 0.000 0.500
Au 0.000 0.500 0.000
Br 0.254 0.000 0.000
Br 0.500 0.333 0.667
Br 0.746 0.000 0.000
Au 0.000 0.500 0.500
Br 0.500 0.667 0.333

Results
Total magnetic moment   0.000 μB/f.u.
ΔE_f (raw)   398.3 meV/atom
SG   No. 191
E_tot   -2.352 eV/atom

5.
A relaxed structure of TlSeCl2, computed with PBEsol.

Cell: 3.284 5.821 5.821 Å, 64.19 73.62 73.62°
Element x y z (fractional)
Tl 0.500 0.000 0.000
Se 0.000 0.500 0.500
Cl 0.275 0.725 0.725
Cl 0.725 0.275 0.275

Results
Total magnetic moment   0.000 μB/f.u.
ΔE to the lowest computed polymorph   42 meV/atom
ΔE_f (raw)   -201.1 meV/atom
SG   No. 71
E_tot   -2.825 eV/atom

6.
A relaxed structure of CaCuSi2O6, computed with PBEsol.

Cell: 5.216 6.673 6.673 Å, 84.78 77.42 77.42°
Site moments in Bohr magnetons follow the coordinates.
Element x y z (fractional)
O 0.320 0.393 0.894  0.04
O 0.515 0.330 0.370  0.00
Cu 0.750 0.902 0.098  0.66
O 0.015 0.370 0.330  0.00
O 0.180 0.106 0.607  0.04
O 0.370 0.022 0.202  0.10
Cu 0.250 0.098 0.902  0.66
Si 0.218 0.622 0.809  0.00
O 0.680 0.607 0.106  0.04
O 0.130 0.798 0.978  0.10
Ca 0.750 0.297 0.703  0.00
O 0.485 0.670 0.630  0.00
Ca 0.250 0.703 0.297  0.00
Si 0.282 0.191 0.378  0.00
O 0.820 0.894 0.393  0.04
Si 0.718 0.809 0.622  0.00
O 0.985 0.630 0.670  0.00
O 0.630 0.978 0.798  0.10
Si 0.782 0.378 0.191  0.00
O 0.870 0.202 0.022  0.10

Results
Total magnetic moment   1.000 μB/f.u.
ΔE to the lowest computed polymorph   0 meV/atom
ΔE_f (raw)   -2416.1 meV/atom
SG   No. 15
E_tot   -7.362 eV/atom

7.
A relaxed structure of Hf6Al16Rh7, computed with PBEsol.

Cell: 8.610 8.610 8.610 Å, 60.00 60.00 60.00°
Element x y z (fractional)
Hf 0.685 0.315 0.315
Hf 0.315 0.685 0.315
Al 0.662 0.013 0.662
Hf 0.685 0.685 0.315
Al 0.880 0.880 0.359
Rh 0.000 0.000 0.000
Al 0.338 0.987 0.338
Rh 0.500 0.000 0.500
Al 0.338 0.338 0.338
Al 0.120 0.120 0.120
Rh 0.000 0.500 0.000
Rh 0.000 0.000 0.500
Hf 0.315 0.685 0.685
Al 0.359 0.880 0.880
Al 0.013 0.662 0.662
Al 0.120 0.641 0.120
Rh 0.500 0.500 0.000
Al 0.987 0.338 0.338
Hf 0.315 0.315 0.685
Rh 0.000 0.500 0.500
Al 0.641 0.120 0.120
Al 0.120 0.120 0.641
Al 0.880 0.880 0.880
Al 0.338 0.338 0.987
Al 0.662 0.662 0.662
Hf 0.685 0.315 0.685
Al 0.880 0.359 0.880
Rh 0.500 0.000 0.000
Al 0.662 0.662 0.013

Results
Total magnetic moment   0.001 μB/f.u.
SG   No. 225
E_tot   -7.192 eV/atom

8.
A relaxed structure of CoBSb2Te, computed with PBEsol.

Cell: 4.639 4.639 4.732 Å, 90.00 90.00 90.00°
Site moments in Bohr magnetons follow the coordinates.
Element x y z (fractional)
Te 0.000 0.000 0.500  -0.01
Co 0.500 0.500 0.500  1.51
Sb 0.000 0.500 0.000  -0.05
B 0.000 0.000 0.000  -0.04
Sb 0.500 0.000 0.000  -0.05

Results
Total magnetic moment   1.134 μB/f.u.
ΔE_f (raw)   1095.3 meV/atom
SG   No. 123
E_tot   -4.383 eV/atom